No. 1
5
Lattice="4.881 0.000 0.000 0.000 4.881 0.000 0.000 0.000 4.881" Properties=species:S:1:pos:R:3 comment="VAg3Pd PBE-GGA optimized geometry" dft_energy_ev_per_atom=-3.269 vol_a3_per_cell=116 mass_density_g_cm3=6.87 sg=Pm-3m e_form_kj_per_mol_atoms=126 pbc="T T T"
Ag 0.000 2.440 0.000
Ag 0.000 0.000 2.440
Ag 2.440 0.000 0.000
Pd 2.440 2.440 2.440
V 0.000 0.000 0.000



No. 2
3
Lattice="-1.136 2.434 -0.693 -0.795 -1.065 -2.436 -4.261 -2.421 4.029" Properties=species:S:1:pos:R:3 comment="VAgPd PBE-GGA optimized geometry" dft_energy_ev_per_atom=-5.669 vol_a3_per_cell=46 mass_density_g_cm3=9.48 sg=I4mm e_form_kj_per_mol_atoms=5 pbc="T T T"
Pd -3.369 -1.119 1.589
Ag -0.030 -0.010 0.014
V -2.793 0.078 -0.702



No. 3
17
Lattice="6.705 0.000 -2.371 -3.353 5.807 -2.371 0.000 0.000 7.112" Properties=species:S:1:pos:R:3 comment="V4AgPd12 PBE-GGA optimized geometry" dft_energy_ev_per_atom=-5.825 vol_a3_per_cell=277 mass_density_g_cm3=9.53 sg=Im-3m e_form_kj_per_mol_atoms=15 pbc="T T T"
V 0.000 0.000 3.556
V 3.353 0.000 -1.185
V 1.676 2.903 1.185
V -1.676 2.903 -1.185
Ag 0.000 0.000 0.000
Pd -1.002 1.735 1.417
Pd -2.351 4.072 3.325
Pd 2.351 4.072 -3.325
Pd 1.002 1.735 -1.417
Pd 2.003 0.000 1.417
Pd 4.702 0.000 3.325
Pd 2.514 1.452 3.556
Pd 0.838 4.355 -1.185
Pd 4.191 1.452 1.185
Pd -0.838 4.355 1.185
Pd 3.353 2.903 -1.185
Pd 0.000 2.903 3.556



No. 4
4
Lattice="2.804 0.002 0.001 1.403 2.428 0.001 1.407 0.812 9.094" Properties=species:S:1:pos:R:3 comment="VAgPd2 PBE-GGA optimized geometry" dft_energy_ev_per_atom=-5.694 vol_a3_per_cell=62 mass_density_g_cm3=9.97 sg=R3m e_form_kj_per_mol_atoms=-10 pbc="T T T"
V 4.212 2.432 9.094
Ag 2.807 1.620 4.552
Pd 1.406 0.812 6.999
Pd 1.403 0.810 2.093



No. 5
4
Lattice="2.754 0.000 0.000 1.377 2.385 0.000 1.377 0.795 10.198" Properties=species:S:1:pos:R:3 comment="VAg2Pd PBE-GGA optimized geometry" dft_energy_ev_per_atom=-4.635 vol_a3_per_cell=67 mass_density_g_cm3=9.25 sg=R-3m e_form_kj_per_mol_atoms=36 pbc="T T T"
Pd 2.754 1.590 5.099
Ag 1.377 0.795 7.543
Ag 4.131 2.385 2.655
V 0.000 0.000 0.000



No. 6
11
Lattice="-2.400 0.547 3.079 3.314 -4.181 3.326 4.165 5.997 -0.342" Properties=species:S:1:pos:R:3 comment="V2AgPd8 PBE-GGA optimized geometry" dft_energy_ev_per_atom=-5.866 vol_a3_per_cell=167 mass_density_g_cm3=10.52 sg=C2/m e_form_kj_per_mol_atoms=-17 pbc="T T T"
V 3.492 0.090 2.706
V 1.588 2.272 3.357
Ag -1.200 0.273 1.539
Pd 0.942 -0.395 3.328
Pd 2.161 3.616 1.042
Pd 1.556 0.980 1.038
Pd 2.679 -2.423 2.519
Pd 3.524 1.383 5.025
Pd 2.919 -1.254 5.021
Pd 4.137 2.757 2.735
Pd 2.401 4.785 3.545